Entry from the Alexandria database: a relaxed MgCuB2Ir crystal (PBE-GGA).

a b c (Å): 4.156 4.156 4.649
angles (deg): 90.00 90.00 90.00
Space group P4/mmm (No. 123)
Asymmetric unit:
Mg1 0.000 0.000 0.000 (multiplicity 1)
Cu1 0.500 0.500 0.500 (multiplicity 1)
B1 0.000 0.500 0.000 (multiplicity 2)
Ir1 0.000 0.000 0.500 (multiplicity 1)

Final energy ... -3.345 eV per atom